Ca2NpBr8, relaxed, DFT PBE; E_form (uncorrected) = -1.558 eV per atom; N(E_F) = 4.4 states/eV/cell; uncorrected energy = -4.315 eV per atom; calculated density = 3.95 g/cm3
1.0
7.6973 -0.1046 0.3117
-0.1973 7.1271 4.1002
-0.4376 1.3671 8.0984
Ca Np Br
2 1 8
direct
0.4649 0.8630 0.8630
0.5351 0.1370 0.1370
0.0000 0.0000 0.0000
0.2740 0.2831 0.7824
0.7260 0.2176 0.7169
0.0934 0.8211 0.8211
0.9066 0.1789 0.1789
0.2740 0.7824 0.2831
0.7260 0.7169 0.2176
0.5942 0.6943 0.6943
0.4058 0.3057 0.3057